Here is a geometry-optimized Tl2CdFe structure from Alexandria. Energies are from PBE-GGA.

The crystal system is trigonal. The calculation puts the total energy at -3.0906 eV/atom. The calculation puts the energy above the most stable polymorph in this dataset at 7.2 kJ/mol of atoms. The formation energy is 437 meV/atom. The calculation puts the magnetic moment at 2.93 μB/f.u. The density of states at the Fermi level is 1.91 states/eV/f.u.

The space group is R-3m (No. 166, hexagonal axes) and the conventional cell measures 3.3207, 3.3207 and 28.4407 Å, with angles of 90.00, 90.00 and 120.00 degrees. The inequivalent atoms are Tl at (0.0000, 0.0000, 0.2423), Cd at (0.0000, 0.0000, 0.0000) and Fe at (0.0000, 0.0000, 0.5000).